## 1
Here is a relaxed structure of BaTbTl from OQMD. Energies are from GGA-PBE.

Computed properties:
Calculated volume   41.0 Å³/atom

Unit cell a=7.894 b=7.894 c=7.894 alpha=90.00 beta=90.00 gamma=90.00
Element x y z (fractional)
Ba (0.000, 0.000, 0.000)
Ba (0.000, 0.500, 0.500)
Ba (0.500, 0.000, 0.500)
Ba (0.500, 0.500, 0.000)
Tb (0.000, 0.000, 0.500)
Tb (0.000, 0.500, 0.000)
Tb (0.500, 0.000, 0.000)
Tb (0.500, 0.500, 0.500)
Tl (0.250, 0.250, 0.250)
Tl (0.250, 0.750, 0.750)
Tl (0.750, 0.250, 0.750)
Tl (0.750, 0.750, 0.250)

## 2
Here is a relaxed structure of BaTbTl from OQMD. Energies are from GGA-PBE.

Computed properties:
Calculated volume   38.9 Å³/atom

Unit cell a=7.755 b=7.755 c=7.755 alpha=90.00 beta=90.00 gamma=90.00
Element x y z (fractional)
Ba (0.000, 0.000, 0.000)
Ba (0.000, 0.500, 0.500)
Ba (0.500, 0.000, 0.500)
Ba (0.500, 0.500, 0.000)
Tb (0.250, 0.250, 0.750)
Tb (0.250, 0.750, 0.250)
Tb (0.750, 0.250, 0.250)
Tb (0.750, 0.750, 0.750)
Tl (0.250, 0.250, 0.250)
Tl (0.250, 0.750, 0.750)
Tl (0.750, 0.250, 0.750)
Tl (0.750, 0.750, 0.250)

Least stable of them? 2.

## 1
Here is a relaxed structure of Ba2Tc from OQMD. Energies are from GGA-PBE.

Computed properties:
Calculated volume   81.7 Å³/atom

Unit cell a=8.852 b=8.852 c=8.852 alpha=60.00 beta=60.00 gamma=60.00
Element x y z (fractional)
Ba (0.000, 0.000, 0.000)
Ba (0.000, 0.000, 0.500)
Ba (0.000, 0.500, 0.000)
Ba (0.500, 0.000, 0.000)
Tc (0.125, 0.125, 0.125)
Tc (0.875, 0.875, 0.875)

## 2
Here is a relaxed structure of Ba2Tc from OQMD. Energies are from GGA-PBE.

Computed properties:
Calculated volume   33.9 Å³/atom

Unit cell a=6.603 b=6.603 c=6.603 alpha=60.00 beta=60.00 gamma=60.00
Element x y z (fractional)
Ba (0.000, 0.000, 0.000)
Ba (0.000, 0.000, 0.500)
Ba (0.000, 0.500, 0.000)
Ba (0.500, 0.000, 0.000)
Tc (0.375, 0.375, 0.375)
Tc (0.625, 0.625, 0.625)

Least stable of them? 2.